1.
The following is a PBE-GGA calculation of Y2HfFe after structural relaxation, from OQMD via LeMat-Bulk.

Structure (CIF):
```
data_Y2HfFe
_chemical_formula_sum 'Y8 Hf4 Fe4'
_space_group_name_H-M_alt 'F -4 3 m'
_space_group_IT_number 216
_space_group_name_Hall 'F -4 2 3'
_cell_length_a 6.998
_cell_length_b 6.998
_cell_length_c 6.998
_cell_angle_alpha 90.00
_cell_angle_beta 90.00
_cell_angle_gamma 90.00
loop_
_atom_site_label
_atom_site_type_symbol
_atom_site_fract_x
_atom_site_fract_y
_atom_site_fract_z
Y1 Y 0.000 0.000 0.000
Y2 Y 0.250 0.250 0.250
Hf1 Hf 0.000 0.000 0.500
Fe1 Fe 0.250 0.250 0.750
```

=====

2.
The following is a PBE-GGA calculation of HfZn2Fe after structural relaxation, from OQMD via LeMat-Bulk.

Structure (CIF):
```
data_HfZn2Fe
_chemical_formula_sum 'Hf4 Zn8 Fe4'
_space_group_name_H-M_alt 'F -4 3 m'
_space_group_IT_number 216
_space_group_name_Hall 'F -4 2 3'
_cell_length_a 6.233
_cell_length_b 6.233
_cell_length_c 6.233
_cell_angle_alpha 90.00
_cell_angle_beta 90.00
_cell_angle_gamma 90.00
loop_
_atom_site_label
_atom_site_type_symbol
_atom_site_fract_x
_atom_site_fract_y
_atom_site_fract_z
Hf1 Hf 0.000 0.000 0.000
Zn1 Zn 0.000 0.000 0.500
Zn2 Zn 0.250 0.250 0.750
Fe1 Fe 0.250 0.250 0.250
```

Values from the calculation:
E above lowest polymorph	3	meV/atom

=====

no.,E_form (eV per atom),theoretical density (Mg/m³)
1,0.45,7.99
2,-0.01,10.01